Record 1
Material: HfBiIr2
Method: DFT, PBE
State: relaxed

The volume comes out at 18.56 A^3/atom. As for the total energy: -7.7943 eV per atom. The magnetization comes out at 0.00 μB/f.u.

The space group is F-43m (No. 216) and the conventional cell measures 6.671, 6.671 and 6.671 Å, with angles of 90.00, 90.00 and 90.00 degrees. The asymmetric unit holds Hf at (0.000, 0.000, 0.000), Bi at (0.250, 0.250, 0.750), Ir at (0.000, 0.000, 0.500) and Ir at (0.250, 0.250, 0.250).

---

Record 2
Material: Lu3P2S
Method: DFT, PBE
State: relaxed

The volume comes out at 20.70 A^3/atom. As for the total energy: -6.5026 eV per atom. The magnetization comes out at 0.01 μB/f.u.

The space group is P-3m1 (No. 164) and the conventional cell measures 3.8854, 3.8854 and 9.4999 Å, with angles of 90.00, 90.00 and 120.00 degrees. The asymmetric unit holds Lu at (0.0000, 0.0000, 0.0000), Lu at (0.3333, 0.6667, 0.6753), P at (0.3333, 0.6667, 0.1685) and S at (0.0000, 0.0000, 0.5000).

---

Record 3
Material: NbCd
Method: DFT, PBE
State: relaxed

The volume comes out at 19.29 A^3/atom. As for the total energy: -5.2216 eV per atom. As for the formation enthalpy at 0 K: 0.273 eV per atom. The magnetization comes out at 0.02 μB/f.u.

The space group is P-6m2 (No. 187) and the conventional cell measures 2.9460, 2.9460 and 5.1321 Å, with angles of 90.00, 90.00 and 120.00 degrees. The asymmetric unit holds Nb at (0.0000, 0.0000, 0.0000) and Cd at (0.3333, 0.6667, 0.5000).

---

Record 4
Material: Sm3Ag4P4
Method: DFT, PBE
State: relaxed

The volume comes out at 20.93 A^3/atom. As for the total energy: -5.0087 eV per atom. The magnetization comes out at 0.00 μB/f.u.

The space group is P-3m1 (No. 164) and the conventional cell measures 4.2896, 4.2896 and 14.4481 Å, with angles of 90.00, 90.00 and 120.00 degrees. The asymmetric unit holds Sm at (0.0000, 0.0000, 0.0000), Sm at (0.0000, 0.0000, 0.2822), Ag at (0.3333, 0.6667, 0.1373), Ag at (0.3333, 0.6667, 0.5620), P at (0.3333, 0.6667, 0.3757) and P at (0.3333, 0.6667, 0.8680).

---

Record 5
Material: LiCd2Pd
Method: DFT, PBE
State: relaxed

The volume comes out at 17.05 A^3/atom. As for the total energy: -2.6303 eV per atom. As for the energy above the most stable polymorph in this dataset: 4.9 meV per atom.

The space group is Fm-3m (No. 225) and the conventional cell measures 6.485, 6.485 and 6.485 Å, with angles of 90.00, 90.00 and 90.00 degrees. The asymmetric unit holds Li at (0.000, 0.000, 0.000), Cd at (0.250, 0.250, 0.250) and Pd at (0.000, 0.000, 0.500).

---

Record 6
Material: Ho2Sc2CI2BrCl2
Method: DFT, PBE
State: relaxed

The volume comes out at 28.61 A^3/atom. As for the total energy: -5.3325 eV per atom. The magnetization comes out at 0.15 μB/f.u.

The space group is C2/m (No. 12) and the conventional cell measures 19.521, 3.731 and 8.015 Å, with angles of 90.00, 101.41 and 90.00 degrees. The asymmetric unit holds Ho at (0.001, 0.000, 0.298), Sc at (0.116, 0.500, 0.568), C at (0.000, 0.500, 0.500), I at (0.162, 0.000, 0.331), Br at (0.000, 0.500, 0.000) and Cl at (0.142, 0.000, 0.799).

---

total energy of number 3 (NbCd)?
-5.2216 eV per atom